Density functional theory data (GGA-PBE) for a relaxed structure of MnCu4Ru.

Lattice parameters (Å, degrees): 4.7742 4.7742 4.7742 60.00 60.00 60.00
With the nearest neighbours (Å) after each atom.
Fractional coordinates of all 6 atoms:
1 Cu 0.3749 0.3749 0.8754  6 Cu 2.38-2.39
2 Ru 0.0000 0.0000 0.0000  12 Cu 2.80, 4 Mn 2.92
3 Cu 0.3749 0.3749 0.3749  6 Cu 2.38-2.39
4 Cu 0.8754 0.3749 0.3749  6 Cu 2.38-2.39
5 Cu 0.3749 0.8754 0.3749  6 Cu 2.38-2.39
6 Mn 0.7500 0.7500 0.7500  12 Cu 2.80, 4 Ru 2.92

DFT formation energy ... 0.2106 eV/atom
SG ... F-43m, No. 216



Density functional theory data (GGA-PBE) for a relaxed structure of Mn2CuRu.

Lattice parameters (Å, degrees): 2.5567 2.5567 8.4981 90.00 90.00 114.83
With the nearest neighbours (Å) after each atom.
Fractional coordinates of all 4 atoms:
1 Mn 0.5000 0.5000 0.2436  6 Mn 2.43-2.56, 2 Ru 2.50
2 Mn 0.0000 0.0000 0.0078  6 Mn 2.43-2.56, 2 Cu 2.52
3 Cu 0.5000 0.5000 0.7589  2 Mn 2.52, 6 Cu 2.56-2.75, 2 Ru 2.67
4 Ru 0.0000 0.0000 0.4898  2 Mn 2.50, 6 Ru 2.56-2.75, 2 Cu 2.67

DFT formation energy ... 0.3115 eV/atom
SG ... Cmm2, No. 35



Density functional theory data (GGA-PBE) for a relaxed structure of MnCu2Ru.

Lattice parameters (Å, degrees): 4.6377 4.6377 4.4893 80.22 80.22 32.97
With the nearest neighbours (Å) after each atom.
Fractional coordinates of all 4 atoms:
1 Cu 0.5005 0.5005 0.5000  6 Cu 2.60-2.63, 3 Ru 2.65-2.67, 3 Mn 2.66
2 Mn 0.7500 0.7500 0.7500  4 Ru 2.60, 2 Mn 2.63, 6 Cu 2.66
3 Ru 0.2500 0.2500 0.2500  4 Mn 2.60, 2 Ru 2.63, 6 Cu 2.65-2.67
4 Cu 0.9995 0.9995 0.0000  6 Cu 2.60-2.63, 3 Ru 2.65-2.67, 3 Mn 2.66

DFT formation energy ... 0.1856 eV/atom
SG ... C2/m, No. 12



Density functional theory data (GGA-PBE) for a relaxed structure of MnCuSbRu.

Lattice parameters (Å, degrees): 4.3975 4.3975 4.3975 60.00 60.00 60.00
With the nearest neighbours (Å) after each atom.
Fractional coordinates of all 4 atoms:
1 Sb 0.5000 0.5000 0.5000  4 Mn 2.69, 4 Ru 2.69
2 Mn 0.2500 0.2500 0.2500  4 Cu 2.69, 4 Sb 2.69
3 Cu 0.0000 0.0000 0.0000  4 Ru 2.69, 4 Mn 2.69
4 Ru 0.7500 0.7500 0.7500  4 Sb 2.69, 4 Cu 2.69

SG ... F-43m, No. 216
Raw formation energy ... 0.106 eV per atom



no.,density of states at the Fermi level (states/eV per atom)
1,0.72
2,1.52
3,0.94
4,0.84